No. 1
The following is a GGA-PBE calculation of a relaxed LiTa2Te4Br10O crystal, from Alexandria via LeMat-Bulk.

```
data_LiTa2Te4Br10O
_symmetry_space_group_name_H-M 'P 1'
_symmetry_Int_Tables_number 1
_cell_length_a 7.514
_cell_length_b 9.140
_cell_length_c 10.033
_cell_angle_alpha 94.74
_cell_angle_beta 92.54
_cell_angle_gamma 105.11
loop_
_symmetry_equiv_pos_as_xyz
'x,y,z'
loop_
_atom_site_label
_atom_site_type_symbol
_atom_site_fract_x
_atom_site_fract_y
_atom_site_fract_z
_atom_site_occupancy
Li1 Li 0.000 0.000 0.000 1
Ta1 Ta 0.399 0.158 0.827 1
Ta2 Ta 0.434 0.893 0.098 1
Te1 Te 0.083 0.606 0.618 1
Te2 Te 0.718 0.451 0.314 1
Te3 Te 0.828 0.718 0.480 1
Te4 Te 0.976 0.339 0.450 1
Br1 Br 0.058 0.975 0.748 1
Br2 Br 0.102 0.742 0.039 1
Br3 Br 0.214 0.284 0.989 1
Br4 Br 0.337 0.064 0.273 1
Br5 Br 0.352 0.339 0.652 1
Br6 Br 0.452 0.707 0.279 1
Br7 Br 0.516 0.000 0.658 1
Br8 Br 0.570 0.735 0.937 1
Br9 Br 0.699 0.333 0.907 1
Br10 Br 0.776 0.054 0.173 1
O1 O 0.413 0.024 0.963 1
```

Summary:
- Calculated density: 4.25 g/cm³
- E: -4.205 eV/atom


No. 2
The following is a GGA-PBE calculation of a relaxed CaYIr crystal, from Alexandria via LeMat-Bulk.

```
data_CaYIr
_symmetry_space_group_name_H-M 'C 1 2/m 1'
_symmetry_Int_Tables_number 12
_cell_length_a 14.482
_cell_length_b 4.187
_cell_length_c 5.793
_cell_angle_alpha 90.00
_cell_angle_beta 99.96
_cell_angle_gamma 90.00
loop_
_symmetry_equiv_pos_as_xyz
'x,y,z'
'-x,-y,-z'
'-x,y,-z'
'x,-y,z'
'x+1/2,y+1/2,z'
'-x+1/2,-y+1/2,-z'
'-x+1/2,y+1/2,-z'
'x+1/2,-y+1/2,z'
loop_
_atom_site_label
_atom_site_type_symbol
_atom_site_fract_x
_atom_site_fract_y
_atom_site_fract_z
_atom_site_occupancy
Ca1 Ca 0.090 0.000 0.294 1
Y1 Y 0.168 0.500 0.835 1
Ir1 Ir 0.234 0.500 0.336 1
```

Summary:
- Calculated density: 6.17 g/cm³
- Calculated formation energy: -492 meV per atom


No. 3
The following is a GGA-PBE calculation of a relaxed CsNpCuSe3 crystal, from Alexandria via LeMat-Bulk.

```
data_CsNpCuSe3
_symmetry_space_group_name_H-M 'P 1 21/m 1'
_symmetry_Int_Tables_number 11
_cell_length_a 9.683
_cell_length_b 4.164
_cell_length_c 10.060
_cell_angle_alpha 90.00
_cell_angle_beta 112.72
_cell_angle_gamma 90.00
loop_
_symmetry_equiv_pos_as_xyz
'x,y,z'
'-x,-y,-z'
'-x,y+1/2,-z'
'x,-y+1/2,z'
loop_
_atom_site_label
_atom_site_type_symbol
_atom_site_fract_x
_atom_site_fract_y
_atom_site_fract_z
_atom_site_occupancy
Cs1 Cs 0.214 0.250 0.253 1
Np1 Np 0.320 0.750 0.843 1
Cu1 Cu 0.081 0.250 0.598 1
Se1 Se 0.128 0.250 0.857 1
Se2 Se 0.195 0.750 0.544 1
Se3 Se 0.474 0.750 0.151 1
```

Summary:
- Calculated density: 5.95 g/cm³
- E: -5.733 eV/atom


No. 4
The following is a GGA-PBE calculation of a relaxed Er4Te5Se crystal, from Alexandria via LeMat-Bulk.

```
data_Er4Te5Se
_symmetry_space_group_name_H-M 'C 1 2/m 1'
_symmetry_Int_Tables_number 12
_cell_length_a 18.640
_cell_length_b 4.253
_cell_length_c 8.630
_cell_angle_alpha 90.00
_cell_angle_beta 103.39
_cell_angle_gamma 90.00
loop_
_symmetry_equiv_pos_as_xyz
'x,y,z'
'-x,-y,-z'
'-x,y,-z'
'x,-y,z'
'x+1/2,y+1/2,z'
'-x+1/2,-y+1/2,-z'
'-x+1/2,y+1/2,-z'
'x+1/2,-y+1/2,z'
loop_
_atom_site_label
_atom_site_type_symbol
_atom_site_fract_x
_atom_site_fract_y
_atom_site_fract_z
_atom_site_occupancy
Er1 Er 0.003 0.000 0.250 1
Er2 Er 0.169 0.500 0.094 1
Te1 Te 0.000 0.500 0.500 1
Te2 Te 0.164 0.000 0.834 1
Te3 Te 0.165 0.000 0.334 1
Se1 Se 0.000 0.500 0.000 1
```

Summary:
- Calculated density: 6.92 g/cm³
- E: -5.125 eV/atom